## CePdRhPb (PBE)

Data for a relaxed CePdRhPb crystal.

ΔH_f (0 K): -0.517 eV/atom
density of states at the Fermi level: 23.674 states/eV/cell
raw total energy: -6.064 eV/atom

Geometry as CIF:
```
data_CePdRhPb
_chemical_formula_sum 'Ce4 Pd4 Rh4 Pb4'
_cell_length_a 6.9196
_cell_length_b 6.9196
_cell_length_c 6.9196
_cell_angle_alpha 90.00
_cell_angle_beta 90.00
_cell_angle_gamma 90.00
_space_group_name_H-M_alt 'F -4 3 m'
_space_group_IT_number 216
_space_group_name_Hall 'F -4 2 3'
loop_
_atom_site_label
_atom_site_fract_x
_atom_site_fract_y
_atom_site_fract_z
Ce1 0.0000 0.0000 0.0000
Pd1 0.2500 0.2500 0.2500
Rh1 0.2500 0.2500 0.7500
Pb1 0.0000 0.0000 0.5000
```

***

## La4PmSmHo2 (PBE)

Data for a relaxed La4PmSmHo2 crystal.

ΔH_f (0 K): 0.011 eV/atom
density of states at the Fermi level: 11.234 states/eV/cell
raw total energy: -4.781 eV/atom

Geometry as CIF:
```
data_La4PmSmHo2
_chemical_formula_sum 'La4 Pm1 Sm1 Ho2'
_cell_length_a 6.3542
_cell_length_b 3.6783
_cell_length_c 11.9999
_cell_angle_alpha 90.00
_cell_angle_beta 100.16
_cell_angle_gamma 90.00
_space_group_name_H-M_alt 'P 1 2/m 1'
_space_group_IT_number 10
_space_group_name_Hall '-P 2y'
loop_
_atom_site_label
_atom_site_fract_x
_atom_site_fract_y
_atom_site_fract_z
La1 0.2474 0.0000 0.2481
La2 0.2474 0.5000 0.7487
Pm1 0.5000 0.5000 0.5000
Sm1 0.5000 0.0000 0.0000
Ho1 0.0000 0.0000 0.5000
Ho2 0.0000 0.5000 0.0000
```

***

## TlCdTe (PBE)

Data for a relaxed TlCdTe crystal.

formation energy from raw total energies: -105 meV/atom
E above lowest polymorph: 0.116 eV/atom
density of states at the Fermi level: 8.591 states/eV/cell
raw total energy: -2.246 eV/atom

Geometry as CIF:
```
data_TlCdTe
_chemical_formula_sum 'Tl4 Cd4 Te4'
_cell_length_a 7.3753
_cell_length_b 7.3753
_cell_length_c 7.3753
_cell_angle_alpha 90.00
_cell_angle_beta 90.00
_cell_angle_gamma 90.00
_space_group_name_H-M_alt 'F -4 3 m'
_space_group_IT_number 216
_space_group_name_Hall 'F -4 2 3'
loop_
_atom_site_label
_atom_site_fract_x
_atom_site_fract_y
_atom_site_fract_z
Tl1 0.0000 0.0000 0.0000
Cd1 0.2500 0.2500 0.2500
Te1 0.0000 0.0000 0.5000
```